# La4Pr11Y9

An optimized crystal structure of La4Pr11Y9 (PBE, Alexandria).

Output
uncorrected energy = -258.0 eV for the cell shown
D(E_F) = 32.24 states/eV/f.u.
formation energy from the elements = 0.061 eV/atom
total magnetic moment = 0.000 μB per cell

Cell: 17.259 25.884 3.773 Å, 90.00 90.00 90.00°
Space group Cmmm (No. 65)
Unique sites:
La  0.154  0.101  0.000 x8
Pr  0.000  0.135  0.500 x4
Pr  0.000  0.342  0.500 x4
Pr  0.000  0.500  0.500 x2
Pr  0.210  0.000  0.500 x4
Pr  0.227  0.319  0.500 x8
Y  0.000  0.000  0.000 x2
Y  0.101  0.237  0.000 x8
Y  0.138  0.427  0.000 x8